(1)
A relaxed SrTmMgAg crystal, computed with GGA-PBE.

```
SrTmMgAg
1.0
0.0000 3.8355 3.8355
3.8355 0.0000 3.8355
3.8355 3.8355 0.0000
Sr Tm Mg Ag
1 1 1 1
direct
0.0000 0.0000 0.0000 Sr
0.5000 0.5000 0.5000 Tm
0.7500 0.7500 0.7500 Mg
0.2500 0.2500 0.2500 Ag
```

Results
DOS at the Fermi energy	0.61	states/eV per atom
energy of formation from the pure elements	-56	meV per atom

=====

(2)
A relaxed CeEr3Fe crystal, computed with GGA-PBE.

```
CeEr3Fe
1.0
5.2243 0.0000 0.0000
0.0000 5.2243 0.0000
0.0000 0.0000 5.2243
Ce Er Fe
1 3 1
direct
0.0000 0.0000 0.0000 Ce
0.0000 0.5000 0.5000 Er
0.5000 0.0000 0.5000 Er
0.5000 0.5000 0.0000 Er
0.5000 0.5000 0.5000 Fe
```

Results
DOS at the Fermi energy	2.24	states/eV per atom
energy of formation from the pure elements	153	meV per atom

=====

(3)
A relaxed ZnCd6In2 crystal, computed with GGA-PBE.

```
ZnCd6In2
1.0
6.9797 -4.8623 0.0000
6.9797 4.8623 0.0000
-0.6577 0.0000 3.0686
Zn Cd In
1 6 2
direct
0.0000 0.0000 0.0000 Zn
0.0287 0.3368 0.1823 Cd
0.2640 0.7360 0.5000 Cd
0.3368 0.0287 0.1823 Cd
0.6632 0.9713 0.8177 Cd
0.7360 0.2640 0.5000 Cd
0.9713 0.6632 0.8177 Cd
0.3723 0.3723 0.8748 In
0.6277 0.6277 0.1252 In
```

Results
DOS at the Fermi energy	0.24	states/eV per atom
energy of formation from the pure elements	36	meV per atom
distance to the lowest polymorph of the same formula	0.000	eV/atom

=====

(4)
A relaxed RbNaSn crystal, computed with GGA-PBE.

```
RbNaSn
1.0
-2.0817 2.0817 6.7306
2.0817 -2.0817 6.7306
2.0817 2.0817 -6.7306
Rb Na Sn
1 1 1
direct
0.0000 0.0000 0.0000 Rb
0.7169 0.7169 0.0000 Na
0.3140 0.3140 0.0000 Sn
```

Results
DOS at the Fermi energy	0.66	states/eV per atom
energy of formation from the pure elements	-33	meV per atom
distance to the lowest polymorph of the same formula	0.133	eV/atom

=====

(5)
A relaxed TmPb2F11 crystal, computed with GGA-PBE.

```
TmPb2F11
1.0
-4.0026 5.0667 5.3254
4.0026 -5.0667 5.3254
4.0026 5.0667 -5.3254
Tm Pb F
2 4 22
direct
0.2500 0.2500 0.0000 Tm
0.7500 0.7500 0.0000 Tm
0.1826 0.6431 0.8258 Pb
0.3174 0.1431 0.4605 Pb
0.6826 0.8569 0.5395 Pb
0.8174 0.3569 0.1742 Pb
0.0000 0.5000 0.5000 F
0.0321 0.9532 0.2722 F
0.0659 0.3613 0.1532 F
0.1810 0.4532 0.9210 F
0.2081 0.9127 0.8468 F
0.2092 0.3724 0.5816 F
0.2908 0.8724 0.1632 F
0.2919 0.1387 0.7046 F
0.3190 0.2401 0.2722 F
0.4341 0.5873 0.2954 F
0.4679 0.7401 0.9210 F
0.5000 0.0000 0.5000 F
0.5321 0.2599 0.0790 F
0.5659 0.4127 0.7046 F
0.6810 0.7599 0.7278 F
0.7081 0.8613 0.2954 F
0.7092 0.1276 0.8368 F
0.7908 0.6276 0.4184 F
0.7919 0.0873 0.1532 F
0.8190 0.5468 0.0790 F
0.9341 0.6387 0.8468 F
0.9679 0.0468 0.7278 F
```

Results
formation energy from raw total energies	-2.50	eV/atom

=====

(6)
A relaxed Pr3Sm7Y2 crystal, computed with GGA-PBE.

```
Pr3Sm7Y2
1.0
6.4872 0.0000 0.0000
0.0000 3.5877 0.0000
-1.9172 0.0000 17.7686
Pr Sm Y
3 7 2
direct
0.0000 0.0000 0.0000 Pr
0.0485 0.5000 0.6608 Pr
0.9515 0.5000 0.3392 Pr
0.2294 0.5000 0.1670 Sm
0.2449 0.0000 0.5014 Sm
0.2770 0.0000 0.8324 Sm
0.5000 0.5000 0.0000 Sm
0.7230 0.0000 0.1676 Sm
0.7551 0.0000 0.4986 Sm
0.7706 0.5000 0.8330 Sm
0.4445 0.0000 0.3288 Y
0.5555 0.0000 0.6712 Y
```

Results
DOS at the Fermi energy	1.53	states/eV per atom
energy of formation from the pure elements	77	meV per atom
distance to the lowest polymorph of the same formula	0.000	eV/atom

=====

(7)
A relaxed La5Pm2ErSc crystal, computed with GGA-PBE.

```
La5Pm2ErSc
1.0
-4.2222 4.2222 8.8615
4.2222 -4.2222 8.8615
4.2222 4.2222 -8.8615
La Pm Er Sc
10 4 2 2
direct
0.0000 0.0000 0.0000 La
0.0761 0.5761 0.9422 La
0.1338 0.0761 0.5000 La
0.3662 0.8662 0.9422 La
0.4239 0.3662 0.5000 La
0.5000 0.5000 0.0000 La
0.5761 0.6338 0.5000 La
0.6338 0.1338 0.0578 La
0.8662 0.9239 0.5000 La
0.9239 0.4239 0.0578 La
0.1270 0.3730 0.5000 Pm
0.3730 0.8730 0.2461 Pm
0.6270 0.1270 0.7539 Pm
0.8730 0.6270 0.5000 Pm
0.2500 0.2500 0.0000 Er
0.7500 0.7500 0.0000 Er
0.2500 0.7500 0.5000 Sc
0.7500 0.2500 0.5000 Sc
```

Results
DOS at the Fermi energy	1.66	states/eV per atom
energy of formation from the pure elements	278	meV per atom

=====

(8)
A relaxed Ti4GaPd5 crystal, computed with GGA-PBE.

```
Ti4GaPd5
1.0
-4.1213 4.1213 2.4353
4.1213 -4.1213 2.4353
4.1213 4.1213 -2.4353
Ti Ga Pd
4 1 5
direct
0.0240 0.3225 0.3465 Ti
0.3225 0.9760 0.2985 Ti
0.6775 0.0240 0.7015 Ti
0.9760 0.6775 0.6535 Ti
0.7095 0.7095 0.0000 Ga
0.1859 0.1859 0.0000 Pd
0.2710 0.6562 0.9421 Pd
0.3289 0.2710 0.6148 Pd
0.6562 0.7141 0.3852 Pd
0.7141 0.3289 0.0579 Pd
```

Results
DOS at the Fermi energy	1.05	states/eV per atom
energy of formation from the pure elements	-411	meV per atom

=====

(9)
A relaxed Li2OsW crystal, computed with GGA-PBE.

```
Li2OsW
1.0
3.0710 0.0000 0.0000
0.0000 3.0710 0.0000
0.0000 0.0000 6.5438
Li Os W
2 1 1
direct
0.0000 0.0000 0.0000 Li
0.5000 0.5000 0.2432 Li
0.0000 0.0000 0.5034 Os
0.5000 0.5000 0.7092 W
```

Results
DOS at the Fermi energy	1.01	states/eV per atom
energy of formation from the pure elements	318	meV per atom
distance to the lowest polymorph of the same formula	0.131	eV/atom

=====

(10)
A relaxed CaNi2H2 crystal, computed with GGA-PBE.

```
CaNi2H2
1.0
-1.7303 1.7303 4.8013
1.7303 -1.7303 4.8013
1.7303 1.7303 -4.8013
Ca Ni H
1 2 2
direct
0.0000 0.0000 0.0000 Ca
0.2845 0.2845 0.0000 Ni
0.7155 0.7155 0.0000 Ni
0.2500 0.7500 0.5000 H
0.7500 0.2500 0.5000 H
```

Results
DOS at the Fermi energy	0.61	states/eV per atom
raw total energy	-21.076	eV per formula unit

=====

(11)
A relaxed Na3Cd2Sn4 crystal, computed with GGA-PBE.

```
Na3Cd2Sn4
1.0
4.5905 -8.0440 0.0000
4.5905 8.0440 0.0000
0.0000 0.0000 6.3682
Na Cd Sn
6 4 8
direct
0.0000 0.0000 0.2500 Na
0.0000 0.0000 0.7500 Na
0.3327 0.6673 0.2500 Na
0.3327 0.6673 0.7500 Na
0.6673 0.3327 0.2500 Na
0.6673 0.3327 0.7500 Na
0.0015 0.3385 0.0000 Cd
0.3385 0.0015 0.5000 Cd
0.6615 0.9985 0.5000 Cd
0.9985 0.6615 0.0000 Cd
0.0067 0.6675 0.5000 Sn
0.3259 0.3309 0.5000 Sn
0.3309 0.3259 0.0000 Sn
0.3325 0.9933 0.0000 Sn
0.6675 0.0067 0.0000 Sn
0.6691 0.6741 0.0000 Sn
0.6741 0.6691 0.5000 Sn
0.9933 0.3325 0.5000 Sn
```

Results
DOS at the Fermi energy	0.48	states/eV per atom
energy of formation from the pure elements	-119	meV per atom
distance to the lowest polymorph of the same formula	0.000	eV/atom

=====

(12)
A relaxed Rb2PuHg2Se4 crystal, computed with GGA-PBE.

```
Rb2PuHg2Se4
1.0
8.5442 -2.1046 0.0000
8.5442 2.1046 0.0000
-3.5971 0.0000 7.8461
Rb Pu Hg Se
2 1 2 4
direct
0.1274 0.1274 0.0722 Rb
0.8726 0.8726 0.9278 Rb
0.0000 0.0000 0.5000 Pu
0.3068 0.3068 0.4756 Hg
0.6932 0.6932 0.5244 Hg
0.1772 0.1772 0.7283 Se
0.4786 0.4786 0.7144 Se
0.5214 0.5214 0.2856 Se
0.8228 0.8228 0.2717 Se
```

Results
DOS at the Fermi energy	1.48	states/eV per atom
formation energy from raw total energies	-0.86	eV/atom

=====

(13)
A relaxed Pm2Sc2In7 crystal, computed with GGA-PBE.

```
Pm2Sc2In7
1.0
4.9584 -5.5555 0.0000
4.9584 5.5555 0.0000
0.0000 0.0000 6.0304
Pm Sc In
2 2 7
direct
0.1912 0.1912 0.0000 Pm
0.8088 0.8088 0.0000 Pm
0.2674 0.7326 0.5000 Sc
0.7326 0.2674 0.5000 Sc
0.0000 0.0000 0.5000 In
0.0000 0.5000 0.2439 In
0.0000 0.5000 0.7561 In
0.5000 0.0000 0.2439 In
0.5000 0.0000 0.7561 In
0.5000 0.5000 0.2419 In
0.5000 0.5000 0.7581 In
```

Results
DOS at the Fermi energy	0.67	states/eV per atom
energy of formation from the pure elements	12	meV per atom

=====

(14)
A relaxed TlCdPd5 crystal, computed with GGA-PBE.

```
TlCdPd5
1.0
3.9569 0.0000 0.0000
0.0000 3.9569 0.0000
0.0000 0.0000 8.1780
Tl Cd Pd
1 1 5
direct
0.0000 0.0000 0.0000 Tl
0.5000 0.5000 0.5000 Cd
0.0000 0.0000 0.5000 Pd
0.0000 0.5000 0.2464 Pd
0.0000 0.5000 0.7536 Pd
0.5000 0.0000 0.2464 Pd
0.5000 0.0000 0.7536 Pd
```

Results
DOS at the Fermi energy	0.66	states/eV per atom
energy of formation from the pure elements	-153	meV per atom
distance to the lowest polymorph of the same formula	0.000	eV/atom

=====

(15)
A relaxed NbRhSe2Br crystal, computed with GGA-PBE.

```
NbRhSe2Br
1.0
5.0260 0.0000 0.0000
0.0000 5.0260 0.0000
0.0000 0.0000 5.1440
Nb Rh Se Br
1 1 2 1
direct
0.0000 0.0000 0.0000 Nb
0.5000 0.5000 0.5000 Rh
0.0000 0.5000 0.0000 Se
0.5000 0.0000 0.0000 Se
0.0000 0.0000 0.5000 Br
```

Results
DOS at the Fermi energy	1.87	states/eV per atom
formation energy from raw total energies	0.45	eV/atom
distance to the lowest polymorph of the same formula	0.000	eV/atom

=====

(16)
A relaxed PrZnGaCu6 crystal, computed with GGA-PBE.

```
PrZnGaCu6
1.0
-3.4738 4.4716 4.8227
3.4738 -4.4716 4.8227
3.4738 4.4716 -4.8227
Pr Zn Ga Cu
2 2 2 12
direct
0.4735 0.2235 0.2500 Pr
0.5265 0.7765 0.7500 Pr
0.0000 0.0000 0.5000 Zn
0.0000 0.5000 0.0000 Zn
0.0000 0.0000 0.0000 Ga
0.5000 0.0000 0.5000 Ga
0.1154 0.4439 0.3073 Cu
0.1154 0.8082 0.6715 Cu
0.1703 0.9203 0.2500 Cu
0.2137 0.4637 0.7500 Cu
0.3633 0.1918 0.8073 Cu
0.3633 0.5561 0.1715 Cu
0.6367 0.4439 0.8285 Cu
0.6367 0.8082 0.1927 Cu
0.7863 0.5363 0.2500 Cu
0.8297 0.0797 0.7500 Cu
0.8846 0.1918 0.3285 Cu
0.8846 0.5561 0.6927 Cu
```

Results
DOS at the Fermi energy	0.42	states/eV per atom
energy of formation from the pure elements	127	meV per atom

=====

(17)
A relaxed ThCoPt crystal, computed with GGA-PBE.

```
ThCoPt
1.0
3.5926 0.0000 0.0000
0.0000 4.0727 0.0000
0.0000 0.0000 4.1839
Th Co Pt
1 1 1
direct
0.0000 0.0000 0.0000 Th
0.5000 0.0000 0.5000 Co
0.0000 0.5000 0.5000 Pt
```

Results
DOS at the Fermi energy	0.69	states/eV per atom
energy of formation from the pure elements	-454	meV per atom

=====

(18)
A relaxed NaPm2PuO6 crystal, computed with GGA-PBE.

```
NaPm2PuO6
1.0
2.9773 1.7190 5.1375
-2.9773 1.7190 5.1375
0.0000 -3.4379 5.1375
Na Pm Pu O
1 2 1 6
direct
0.0000 0.0000 0.0000 Na
0.2713 0.2713 0.2713 Pm
0.7803 0.7803 0.7803 Pm
0.4841 0.4841 0.4841 Pu
0.1180 0.6607 0.4009 O
0.2108 0.5824 0.8537 O
0.4009 0.1180 0.6607 O
0.5824 0.8537 0.2108 O
0.6607 0.4009 0.1180 O
0.8537 0.2108 0.5824 O
```

Results
DOS at the Fermi energy	1.04	states/eV per atom
formation energy from raw total energies	-2.92	eV/atom

=====

(19)
A relaxed SmDy3Er3Te8 crystal, computed with GGA-PBE.

```
SmDy3Er3Te8
1.0
4.3261 2.4977 7.0586
-4.3261 2.4977 7.0586
0.0000 -4.9953 7.0586
Sm Dy Er Te
1 3 3 8
direct
0.0000 0.0000 0.0000 Sm
0.0000 0.0000 0.5000 Dy
0.0000 0.5000 0.0000 Dy
0.5000 0.0000 0.0000 Dy
0.0000 0.5000 0.5000 Er
0.5000 0.0000 0.5000 Er
0.5000 0.5000 0.0000 Er
0.2510 0.2510 0.2510 Te
0.2599 0.2599 0.7381 Te
0.2599 0.7381 0.2599 Te
0.2619 0.7401 0.7401 Te
0.7381 0.2599 0.2599 Te
0.7401 0.2619 0.7401 Te
0.7401 0.7401 0.2619 Te
0.7490 0.7490 0.7490 Te
```

Results
DOS at the Fermi energy	0.44	states/eV per atom
formation energy from raw total energies	-1.35	eV/atom

=====

(20)
A relaxed P2RuSeN crystal, computed with GGA-PBE.

```
P2RuSeN
1.0
3.9980 -1.4210 0.0000
3.9980 1.4210 0.0000
-2.2176 0.0000 7.4368
P Ru Se N
2 1 1 1
direct
0.0000 0.0000 0.0000 P
0.1490 0.1490 0.7880 P
0.5644 0.5644 0.5509 Ru
0.8052 0.8052 0.4113 Se
0.3621 0.3621 0.9291 N
```

Results
DOS at the Fermi energy	0.71	states/eV per atom
formation energy from raw total energies	0.02	eV/atom
distance to the lowest polymorph of the same formula	0.089	eV/atom

=====

(21)
A relaxed Mg2CoI6 crystal, computed with GGA-PBE.

```
Mg2CoI6
1.0
7.1964 0.0000 0.0000
-3.5982 6.2323 0.0000
0.0000 0.0000 7.7011
Mg Co I
2 1 6
direct
0.3333 0.6667 0.0000 Mg
0.6667 0.3333 0.0000 Mg
0.0000 0.0000 0.0000 Co
0.0000 0.3214 0.2107 I
0.0000 0.6786 0.7893 I
0.3214 0.0000 0.2107 I
0.3214 0.3214 0.7893 I
0.6786 0.0000 0.7893 I
0.6786 0.6786 0.2107 I
```

Results
DOS at the Fermi energy	0.25	states/eV per atom
formation energy from raw total energies	-0.67	eV/atom

=====

(22)
A relaxed P2CSBr crystal, computed with GGA-PBE.

```
P2CSBr
1.0
4.4132 0.0000 0.0000
0.0000 4.4132 0.0000
0.0000 0.0000 3.9944
P C S Br
2 1 1 1
direct
0.0000 0.5000 0.0000 P
0.5000 0.0000 0.0000 P
0.0000 0.0000 0.0000 C
0.0000 0.0000 0.5000 S
0.5000 0.5000 0.5000 Br
```

Results
DOS at the Fermi energy	0.62	states/eV per atom
formation energy from raw total energies	1.43	eV/atom
distance to the lowest polymorph of the same formula	0.000	eV/atom

=====

(23)
A relaxed VFeSn crystal, computed with GGA-PBE.

```
VFeSn
1.0
4.2744 0.0000 0.0000
-2.1372 3.7018 0.0000
0.0000 0.0000 2.9404
V Fe Sn
1 1 1
direct
0.0000 0.0000 0.0000 V
0.3333 0.6667 0.7569 Fe
0.6667 0.3333 0.4513 Sn
```

Results
DOS at the Fermi energy	0.98	states/eV per atom
energy of formation from the pure elements	177	meV per atom